# LiHf2AlAs PBE-GGA relaxed
# DFT total energy ... -28.085 eV for the cell shown
# DOS at the Fermi energy ... 3.307 states/eV/f.u.
# Total moment ... 0.0000 μB/atom
# Formation energy ... 426 meV per atom
data_LiHf2AlAs
_space_group_name_H-M_alt 'P 1'
_space_group_IT_number 1
_space_group_name_Hall 'P 1'
_cell_length_a 4.705
_cell_length_b 4.263
_cell_length_c 4.705
_cell_angle_alpha 90.00
_cell_angle_beta 90.00
_cell_angle_gamma 90.00
loop_
_atom_site_label
_atom_site_fract_x
_atom_site_fract_y
_atom_site_fract_z
_atom_site_occupancy
Li1 0.000 0.000 0.000 1
Al1 0.000 0.500 0.000 1
As1 0.500 0.500 0.500 1
Hf1 0.000 0.000 0.500 1
Hf2 0.500 0.000 0.000 1